Record 1
{"formula": "NdCo4Si2", "functional": "GGA-PBE", "state": "relaxed", "e_form_raw_mev_per_atom": -465, "lattice": [[7.270, 0.000, 0.000], [0.000, 7.270, 0.000], [0.000, 0.000, 3.618]], "species": ["Nd", "Nd", "Co", "Co", "Co", "Co", "Co", "Co", "Co", "Co", "Si", "Si", "Si", "Si"], "frac_coords": [[0.000, 0.000, 0.000], [0.500, 0.500, 0.500], [0.079, 0.350, 0.500], [0.150, 0.579, 0.000], [0.350, 0.079, 0.500], [0.421, 0.850, 0.000], [0.579, 0.150, 0.000], [0.650, 0.921, 0.500], [0.850, 0.421, 0.000], [0.921, 0.650, 0.500], [0.226, 0.774, 0.500], [0.274, 0.274, 0.000], [0.726, 0.726, 0.000], [0.774, 0.226, 0.500]]}

=====

Record 2
{"formula": "CaMgPdPb", "functional": "GGA-PBE", "state": "relaxed", "e_form_ev_per_atom": -0.4252, "lattice": [[7.143, 0.000, 0.000], [0.000, 7.143, 0.000], [0.000, 0.000, 7.143]], "species": ["Ca", "Ca", "Ca", "Ca", "Mg", "Mg", "Mg", "Mg", "Pd", "Pd", "Pd", "Pd", "Pb", "Pb", "Pb", "Pb"], "frac_coords": [[0.000, 0.000, 0.000], [0.000, 0.500, 0.500], [0.500, 0.000, 0.500], [0.500, 0.500, 0.000], [0.000, 0.000, 0.500], [0.000, 0.500, 0.000], [0.500, 0.000, 0.000], [0.500, 0.500, 0.500], [0.250, 0.250, 0.250], [0.250, 0.750, 0.750], [0.750, 0.250, 0.750], [0.750, 0.750, 0.250], [0.250, 0.250, 0.750], [0.250, 0.750, 0.250], [0.750, 0.250, 0.250], [0.750, 0.750, 0.750]]}

=====

Record 3
{"formula": "KNiAg2", "functional": "GGA-PBE", "state": "relaxed", "e_form_ev_per_atom": 0.5969, "lattice": [[4.361, 0.000, 0.000], [0.000, 4.361, 0.000], [0.000, 0.000, 8.649]], "species": ["K", "K", "Ni", "Ni", "Ag", "Ag", "Ag", "Ag"], "frac_coords": [[0.000, 0.000, 0.000], [0.500, 0.500, 0.500], [0.000, 0.000, 0.500], [0.500, 0.500, 0.000], [0.000, 0.500, 0.250], [0.000, 0.500, 0.750], [0.500, 0.000, 0.250], [0.500, 0.000, 0.750]]}

=====

We obtain raw total energy values of -94.6, -56.8, -20.4 eV for the cell shown for the records listed above, in that order.
We obtain magnetic moment values of 0.02, 0.00, 0.31 Bohr magnetons per cell for the records listed above, in that order.